This record from Alexandria via LeMat-Bulk describes CaPr5Er6 after structural relaxation. The functional is PBE.

Values from the calculation:
- calculated volume (Å³ per atom) = 33.4
- magnetic moment (μB per cell) = 0.00
- final energy (eV/atom) = -4.395
- formation energy from the elements (eV/atom) = 0.045

a = 6.280 Å, b = 8.068 Å, c = 8.068 Å
α = 84.70°, β = 97.42°, γ = 97.42°
Fractional positions:
Er1 0.254 0.748 0.748
Er2 0.254 0.423 0.085
Er3 0.746 0.577 0.915
Er4 0.746 0.252 0.252
Er5 0.254 0.085 0.423
Er6 0.746 0.915 0.577
Pr1 0.000 0.664 0.336
Pr2 0.500 0.831 0.169
Pr3 0.000 0.336 0.664
Pr4 0.500 0.500 0.500
Pr5 0.500 0.169 0.831
Ca1 0.000 0.000 0.000

---

This record from Alexandria via LeMat-Bulk describes Ca2Pr8Er after structural relaxation. The functional is PBE.

Values from the calculation:
- calculated volume (Å³ per atom) = 36.4
- magnetic moment (μB per cell) = 0.00
- final energy (eV/atom) = -4.206
- formation energy from the elements (eV/atom) = 0.049

a = 5.288 Å, b = 8.245 Å, c = 9.831 Å
α = 103.81°, β = 105.60°, γ = 90.00°
Fractional positions:
Ca1 0.864 0.822 0.729
Ca2 0.136 0.178 0.271
Pr1 0.224 0.635 0.448
Pr2 0.046 0.724 0.092
Pr3 0.680 0.903 0.359
Pr4 0.320 0.097 0.641
Pr5 0.411 0.541 0.822
Pr6 0.589 0.459 0.178
Pr7 0.776 0.365 0.552
Pr8 0.954 0.276 0.908
Er1 0.500 0.000 0.000

---

This record from Alexandria via LeMat-Bulk describes CaPrEr2 after structural relaxation. The functional is PBE.

Values from the calculation:
- calculated volume (Å³ per atom) = 34.1
- magnetic moment (μB per cell) = 0.00
- final energy (eV/atom) = -3.905
- energy above the most stable polymorph in this dataset (meV per atom) = 0.0
- formation energy from the elements (eV/atom) = 0.071

a = 3.621 Å, b = 3.621 Å, c = 12.202 Å
α = 81.47°, β = 81.47°, γ = 60.00°
Fractional positions:
Er1 0.253 0.253 0.240
Er2 0.080 0.080 0.760
Pr1 0.666 0.666 0.001
Ca1 0.501 0.501 0.498

---

This record from Alexandria via LeMat-Bulk describes CaPr2Er3 after structural relaxation. The functional is PBE.

Values from the calculation:
- calculated volume (Å³ per atom) = 35.7
- magnetic moment (μB per cell) = 0.00
- final energy (eV/atom) = -3.987
- formation energy from the elements (eV/atom) = 0.221

a = 6.706 Å, b = 6.706 Å, c = 10.987 Å
α = 90.00°, β = 90.00°, γ = 120.00°
Fractional positions:
Ca1 0.667 0.333 0.063
Ca2 0.333 0.667 0.937
Er1 0.336 0.168 0.743
Er2 0.664 0.832 0.257
Er3 0.168 0.336 0.257
Er4 0.168 0.832 0.257
Er5 0.832 0.168 0.743
Er6 0.832 0.664 0.743
Pr1 0.333 0.667 0.577
Pr2 0.667 0.333 0.423
Pr3 0.000 0.000 0.500
Pr4 0.000 0.000 0.000